Record 1
Pu2AlOs2 after structural relaxation. Source: the Alexandria database, functional PBE.

abc: 5.6160 5.6160 8.0057
angles: 106.36 106.36 57.03
Positions (direct):
Pu: 0.0057 0.7039 0.8556
Pu: 0.2961 0.9943 0.6444
Pu: 0.7039 0.0057 0.3556
Pu: 0.9943 0.2961 0.1444
Al: 0.3757 0.6243 0.2500
Al: 0.6243 0.3757 0.7500
Os: 0.2082 0.5177 0.4736
Os: 0.4823 0.7918 0.0264
Os: 0.5177 0.2082 0.9736
Os: 0.7918 0.4823 0.5264

Calculated values
**Space-group type**: No. 15
**Calculated density**: 14.82 Mg/m³



Record 2
PuAlOs after structural relaxation. Source: the Alexandria database, functional PBE.

abc: 7.3012 7.3012 7.3012
angles: 156.62 156.62 33.30
Positions (direct):
Pu: 0.0000 0.0000 0.0000
Al: 0.2172 0.2172 0.0000
Os: 0.8223 0.8223 0.0000

Calculated values
**Space-group type**: No. 107
**Calculated density**: 12.51 Mg/m³



Record 3
PuAlOs after structural relaxation. Source: the Alexandria database, functional PBE.

abc: 7.4952 4.5934 6.6506
angles: 90.00 90.00 90.00
Positions (direct):
Pu: 0.0330 0.2500 0.1805
Pu: 0.4670 0.7500 0.6805
Pu: 0.5330 0.2500 0.3195
Pu: 0.9670 0.7500 0.8195
Al: 0.1912 0.2500 0.6170
Al: 0.3088 0.7500 0.1170
Al: 0.6912 0.2500 0.8830
Al: 0.8088 0.7500 0.3830
Os: 0.1453 0.7500 0.4474
Os: 0.3547 0.2500 0.9474
Os: 0.6453 0.7500 0.0526
Os: 0.8547 0.2500 0.5526

Calculated values
**Space-group type**: No. 62
**Calculated density**: 13.38 Mg/m³



Sequential formation energy output: -200; 419; -285 meV per atom